(1)
A relaxed structure of Nd7Ag2Sn2. Source: Alexandria, functional GGA-PBE.

Properties
Energy of formation ... -1.3 eV per formula unit

Cell: 8.4700 11.5439 7.3296 Å, 90.00 90.00 90.00°
Last column: nearest neighbours and their distance in Å.
Space group Cmmm (No. 65)
Asymmetric unit:
Nd 0.0000 0.0000 0.0000 x2  2 Ag 3.26
Nd 0.0000 0.5000 0.2529 x4  2 Ag 3.12, 2 Sn 3.30
Nd 0.2500 0.2500 0.2768 x8  2 Ag 2.96, 1 Nd 3.27
Ag 0.0000 0.2823 0.0000 x4  7 Nd 2.96-3.26
Sn 0.1738 0.0000 0.5000 x4  1 Sn 2.94

***

(2)
A relaxed structure of Nd5AgSn2. Source: Alexandria, functional GGA-PBE.

Properties
Energy of formation ... -3.4 eV per formula unit

Cell: 7.1512 7.1512 9.0841 Å, 90.00 90.00 90.00°
Last column: nearest neighbours and their distance in Å.
Space group I4mm (No. 107)
Asymmetric unit:
Nd 0.0000 0.0000 0.0000 x2  8 Nd 3.40, 4 Sn 3.58
Nd 0.2501 0.2501 0.2498 x8  2 Ag 3.40, 6 Nd 3.40-3.58, 4 Sn 3.40
Ag 0.0000 0.0000 0.4994 x2  8 Nd 3.40, 4 Sn 3.58
Sn 0.0000 0.5000 0.9999 x4  10 Nd 3.40-3.58, 2 Ag 3.58

***

(3)
A relaxed structure of Nd7Ag4Sn. Source: Alexandria, functional GGA-PBE.

Properties
Energy of formation ... -1.8 eV per formula unit

Cell: 14.7730 5.8922 9.3752 Å, 90.00 120.83 90.00°
Last column: nearest neighbours and their distance in Å.
Space group C2/m (No. 12)
Asymmetric unit:
Nd 0.0000 0.0000 0.0000 x2  2 Sn 2.95, 4 Ag 2.99-3.19
Nd 0.0761 0.5000 0.4053 x4  3 Ag 3.03-3.20, 1 Nd 3.32, 1 Sn 3.36
Nd 0.1785 0.5000 0.8834 x4  6 Nd 3.32-3.70, 1 Sn 3.33, 3 Ag 3.54-3.63
Nd 0.2280 0.0000 0.6934 x4  4 Ag 2.98-3.27
Ag 0.0215 0.0000 0.6786 x4  4 Nd 2.98-3.20, 2 Ag 3.02-3.07
Ag 0.1897 0.0000 0.3426 x4  5 Nd 2.99-3.27, 1 Ag 3.02
Sn 0.0000 0.5000 0.0000 x2  2 Nd 2.95

***

(4)
A relaxed structure of Nd3AgSn2. Source: Alexandria, functional GGA-PBE.

Properties
Energy above the lowest structure with this stoichiometry ... 110 meV per atom
Energy of formation ... -3.0 eV per formula unit

Cell: 16.7056 6.5162 6.3884 Å, 90.00 103.87 90.00°
Last column: nearest neighbours and their distance in Å.
Space group C2/c (No. 15)
Asymmetric unit:
Nd 0.0000 0.1570 0.2500 x4  4 Ag 3.13-3.46, 4 Sn 3.21-3.31
Nd 0.1712 0.3909 0.6027 x8  5 Sn 3.20-3.53, 2 Ag 3.22-3.57, 3 Nd 3.50-3.53
Ag 0.0000 0.3624 0.7500 x4  6 Nd 3.13-3.46, 2 Sn 3.29
Sn 0.1563 0.1058 0.0449 x8  7 Nd 3.20-3.53, 1 Ag 3.29, 2 Sn 3.48

***

(5)
A relaxed structure of SrNd2Ag2Sn2. Source: Alexandria, functional GGA-PBE.

Properties
Energy of formation ... -3.2 eV per formula unit

Cell: 4.8968 4.8968 29.4287 Å, 90.00 90.00 120.00°
Last column: nearest neighbours and their distance in Å.
Space group R-3m (No. 166, hexagonal axes)
Asymmetric unit:
Sr 0.0000 0.0000 0.0000 x3  6 Ag 3.60, 6 Sn 3.66, 2 Nd 3.83
Nd 0.0000 0.0000 0.1300 x6  3 Sn 3.20, 3 Ag 3.25, 3 Nd 3.56
Ag 0.0000 0.0000 0.4091 x6  3 Sn 2.83
Sn 0.0000 0.0000 0.2543 x6  3 Ag 2.83

***

(6)
A relaxed structure of Tb2NdAg2Sn2. Source: Alexandria, functional GGA-PBE.

Properties
Energy of formation ... -3.1 eV per formula unit

Cell: 4.8887 4.8887 26.2572 Å, 90.00 90.00 120.00°
Last column: nearest neighbours and their distance in Å.
Space group R-3m (No. 166, hexagonal axes)
Asymmetric unit:
Tb 0.0000 0.0000 0.1348 x6  3 Ag 2.93, 3 Tb 3.28
Nd 0.0000 0.0000 0.0000 x3  6 Sn 3.36, 2 Tb 3.54
Ag 0.0000 0.0000 0.4379 x6  3 Tb 2.93, 3 Sn 2.97, 1 Ag 3.26
Sn 0.0000 0.0000 0.2637 x6  3 Ag 2.97, 3 Tb 3.30

***

(7)
A relaxed structure of TbNd2Ag2Sn2. Source: Alexandria, functional GGA-PBE.

Properties
Energy of formation ... -2.9 eV per formula unit

Cell: 4.8259 4.8259 27.9695 Å, 90.00 90.00 120.00°
Last column: nearest neighbours and their distance in Å.
Space group R-3m (No. 166, hexagonal axes)
Asymmetric unit:
Tb 0.0000 0.0000 0.0000 x3  6 Ag 3.23, 6 Sn 3.39, 2 Nd 3.56
Nd 0.0000 0.0000 0.1271 x6  3 Sn 3.23, 3 Ag 3.38, 1 Tb 3.56, 3 Nd 3.56
Ag 0.0000 0.0000 0.3920 x6  3 Sn 2.80
Sn 0.0000 0.0000 0.2643 x6  3 Ag 2.80

***

(8)
A relaxed structure of Nd2AgSn3Te6. Source: Alexandria, functional GGA-PBE.

Properties
ΔE_f (raw) ... -7.38 eV/f.u.

Cell: 19.9304 4.4316 9.1095 Å, 90.00 104.48 90.00°
Last column: nearest neighbours and their distance in Å.
Space group C2/m (No. 12)
Asymmetric unit:
Nd 0.1655 0.0000 0.3378 x4  6 Te 3.14-3.24
Ag 0.0000 0.5000 0.0000 x2  6 Te 3.07-3.34
Sn 0.0000 0.5000 0.5000 x2  6 Te 3.22-3.29
Sn 0.1619 0.0000 0.8442 x4  6 Te 3.12-3.23
Te 0.0028 0.0000 0.2347 x4  2 Ag 3.07, 1 Nd 3.14, 3 Sn 3.18-3.29
Te 0.1669 0.5000 0.5895 x4  3 Nd 3.18-3.24, 3 Sn 3.22-3.23
Te 0.1729 0.5000 0.0901 x4  3 Sn 3.12-3.20, 2 Nd 3.19, 1 Ag 3.34

***

(9)
A relaxed structure of NdAgSnTe3. Source: Alexandria, functional GGA-PBE.

Properties
ΔE_f (raw) ... -4.22 eV/f.u.

Cell: 9.1460 4.3172 9.8238 Å, 90.00 100.71 90.00°
Last column: nearest neighbours and their distance in Å.
Space group P2_1/m (No. 11)
Asymmetric unit:
Nd 0.1697 0.2500 0.2387 x2  7 Te 3.25-3.50, 1 Ag 3.61
Ag 0.0785 0.2500 0.5805 x2  4 Te 2.89-2.94, 2 Ag 2.89
Sn 0.3386 0.7500 0.8392 x2  6 Te 3.05-3.37
Te 0.0907 0.2500 0.8762 x2  1 Ag 2.89, 2 Sn 3.20
Te 0.2489 0.7500 0.4901 x2  3 Ag 2.90-2.94
Te 0.4031 0.7500 0.1555 x2  3 Sn 3.05-3.19, 2 Nd 3.25

***

(10)
A relaxed structure of NdThAgSn. Source: Alexandria, functional GGA-PBE.

Properties
Energy of formation ... -1.5 eV per formula unit

Cell: 7.6267 7.6267 7.6267 Å, 90.00 90.00 90.00°
Last column: nearest neighbours and their distance in Å.
Space group F-43m (No. 216)
Asymmetric unit:
Nd 0.0000 0.0000 0.0000 x4  4 Sn 3.30, 4 Ag 3.30
Th 0.0000 0.0000 0.5000 x4  4 Sn 3.30, 4 Ag 3.30
Ag 0.2500 0.2500 0.2500 x4  4 Th 3.30, 4 Nd 3.30
Sn 0.2500 0.2500 0.7500 x4  4 Th 3.30, 4 Nd 3.30

***

(11)
A relaxed structure of NdYAgSn. Source: Alexandria, functional GGA-PBE.

Properties
Energy of formation ... -2.1 eV per formula unit

Cell: 7.5285 7.5285 7.5285 Å, 90.00 90.00 90.00°
Last column: nearest neighbours and their distance in Å.
Space group F-43m (No. 216)
Asymmetric unit:
Nd 0.0000 0.0000 0.0000 x4  4 Sn 3.26, 4 Ag 3.26
Y 0.0000 0.0000 0.5000 x4  4 Sn 3.26, 4 Ag 3.26
Ag 0.2500 0.2500 0.7500 x4  4 Nd 3.26, 4 Y 3.26
Sn 0.2500 0.2500 0.2500 x4  4 Nd 3.26, 4 Y 3.26

***

(12)
A relaxed structure of Nd2YAg2Sn2. Source: Alexandria, functional GGA-PBE.

Properties
Energy of formation ... -2.9 eV per formula unit

Cell: 4.8196 4.8196 28.0094 Å, 90.00 90.00 120.00°
Last column: nearest neighbours and their distance in Å.
Space group R-3m (No. 166, hexagonal axes)
Asymmetric unit:
Nd 0.0000 0.0000 0.1272 x6  3 Sn 3.22, 3 Ag 3.38, 3 Nd 3.55, 1 Y 3.56
Y 0.0000 0.0000 0.0000 x3  6 Ag 3.23, 6 Sn 3.39, 2 Nd 3.56
Ag 0.0000 0.0000 0.3918 x6  3 Sn 2.80
Sn 0.0000 0.0000 0.2642 x6  3 Ag 2.80

***

(13)
A relaxed structure of NdZrAgSn. Source: Alexandria, functional GGA-PBE.

Properties
Energy of formation ... -1.2 eV per formula unit

Cell: 7.3058 7.3058 7.3058 Å, 90.00 90.00 90.00°
Last column: nearest neighbours and their distance in Å.
Space group F-43m (No. 216)
Asymmetric unit:
Nd 0.0000 0.0000 0.0000 x4  4 Sn 3.16, 4 Ag 3.16
Zr 0.0000 0.0000 0.5000 x4  4 Sn 3.16, 4 Ag 3.16
Ag 0.2500 0.2500 0.2500 x4  4 Zr 3.16, 4 Nd 3.16
Sn 0.2500 0.2500 0.7500 x4  4 Zr 3.16, 4 Nd 3.16

***

(14)
A relaxed structure of Sr2NdAg6. Source: Alexandria, functional GGA-PBE.

Properties
Energy of formation ... -2.3 eV per formula unit

Cell: 8.4068 8.4068 3.8049 Å, 90.00 90.00 120.00°
Last column: nearest neighbours and their distance in Å.
Space group P6/mmm (No. 191)
Asymmetric unit:
Sr 0.3333 0.6667 0.0000 x2  12 Ag 3.40
Nd 0.0000 0.0000 0.0000 x1  12 Ag 3.37
Ag 0.0000 0.3307 0.5000 x6  3 Ag 2.78-2.85

***

(15)
A relaxed structure of SrNdAg4. Source: Alexandria, functional GGA-PBE.

Properties
Energy above the lowest structure with this stoichiometry ... 0 meV per atom
Energy of formation ... -1.5 eV per formula unit

Cell: 4.7381 7.6947 8.4250 Å, 90.00 90.00 90.00°
Last column: nearest neighbours and their distance in Å.
Space group Immm (No. 71)
Asymmetric unit:
Sr 0.0000 0.0000 0.0000 x2  12 Ag 3.32-3.46
Nd 0.0000 0.5000 0.0000 x2  12 Ag 3.26-3.51
Ag 0.0000 0.2281 0.3343 x8  3 Ag 2.78-2.79

***

(16)
A relaxed structure of Sr2NdAg4. Source: Alexandria, functional GGA-PBE.

Properties
Energy of formation ... -0.6 eV per formula unit

Cell: 5.6193 5.6193 13.5539 Å, 90.00 90.00 90.00°
Last column: nearest neighbours and their distance in Å.
Space group I4/mmm (No. 139)
Asymmetric unit:
Sr 0.0000 0.0000 0.2194 x4  4 Ag 3.20
Nd 0.0000 0.0000 0.5000 x2  8 Ag 3.16
Ag 0.0000 0.5000 0.1069 x8  1 Ag 2.90, 2 Nd 3.16, 2 Sr 3.20

***

(17)
A relaxed structure of SrNdAg4. Source: Alexandria, functional GGA-PBE.

Properties
Energy above the lowest structure with this stoichiometry ... 96 meV per atom
Energy of formation ... -0.9 eV per formula unit

Cell: 8.3065 8.3065 8.3065 Å, 90.00 90.00 90.00°
Last column: nearest neighbours and their distance in Å.
Space group F-43m (No. 216)
Asymmetric unit:
Sr 0.0000 0.0000 0.0000 x4  12 Ag 3.44, 4 Nd 3.60
Nd 0.2500 0.2500 0.7500 x4  12 Ag 3.44, 4 Sr 3.60
Ag 0.1251 0.1251 0.3749 x16  6 Ag 2.93-2.94

***

(18)
A relaxed structure of SrNdAg3. Source: Alexandria, functional GGA-PBE.

Properties
Energy of formation ... -1.3 eV per formula unit

Cell: 3.9505 28.6967 4.8072 Å, 90.00 90.00 90.00°
Last column: nearest neighbours and their distance in Å.
Space group Cmcm (No. 63)
Asymmetric unit:
Sr 0.0000 0.0745 0.2500 x4  12 Ag 3.40-3.59
Nd 0.0000 0.2075 0.7500 x4  7 Ag 3.15-3.26
Ag 0.0000 0.3212 0.7500 x4  2 Ag 2.91, 4 Nd 3.22
Ag 0.0000 0.3781 0.2500 x4  3 Ag 2.79-2.91
Ag 0.0000 0.4753 0.2500 x4  3 Ag 2.79

***

(19)
A relaxed structure of SrNd5Ag6. Source: Alexandria, functional GGA-PBE.

Properties
Energy of formation ... -3.0 eV per formula unit

Cell: 5.3552 16.1011 7.5343 Å, 90.00 90.00 90.00°
Last column: nearest neighbours and their distance in Å.
Space group Cmmm (No. 65)
Asymmetric unit:
Sr 0.0000 0.0000 0.0000 x2  8 Ag 3.33-3.37
Nd 0.0000 0.0000 0.5000 x2  8 Ag 3.22-3.33
Nd 0.0000 0.3338 0.0000 x4  8 Ag 3.24-3.33
Nd 0.0000 0.3347 0.5000 x4  8 Ag 3.20-3.25
Ag 0.0000 0.1722 0.2554 x8  7 Nd 3.20-3.33, 1 Sr 3.37
Ag 0.0000 0.5000 0.2632 x4  6 Nd 3.20-3.33, 2 Sr 3.33, 1 Ag 3.57

***

(20)
A relaxed structure of SrNdAg. Source: Alexandria, functional GGA-PBE.

Properties
Energy above the lowest structure with this stoichiometry ... 0 meV per atom
Energy of formation ... -0.3 eV per formula unit

Cell: 3.8478 3.8478 13.7149 Å, 90.00 90.00 90.00°
Last column: nearest neighbours and their distance in Å.
Space group I4mm (No. 107)
Asymmetric unit:
Sr 0.0000 0.0000 0.0000 x2  4 Ag 3.45, 1 Nd 3.75, 4 Sr 3.85
Nd 0.0000 0.0000 0.2735 x2  4 Ag 3.18
Ag 0.0000 0.0000 0.6542 x2  4 Nd 3.18, 4 Sr 3.45

***

(21)
A relaxed structure of SrNd3Ag4. Source: Alexandria, functional GGA-PBE.

Properties
Energy of formation ... -2.0 eV per formula unit

Cell: 5.3771 5.3771 7.5423 Å, 90.00 90.00 90.00°
Last column: nearest neighbours and their distance in Å.
Space group P4/mmm (No. 123)
Asymmetric unit:
Sr 0.0000 0.0000 0.0000 x1  8 Ag 3.34
Nd 0.0000 0.0000 0.5000 x1  8 Ag 3.23
Nd 0.5000 0.5000 0.0000 x1  8 Ag 3.34
Nd 0.5000 0.5000 0.5000 x1  8 Ag 3.23
Ag 0.0000 0.5000 0.2630 x4  6 Nd 3.23-3.34, 2 Sr 3.34, 1 Ag 3.57

***

(22)
A relaxed structure of SrNdAg. Source: Alexandria, functional GGA-PBE.

Properties
Energy above the lowest structure with this stoichiometry ... 175 meV per atom
Energy of formation ... 0.2 eV per formula unit

Cell: 5.2146 5.2146 4.2944 Å, 90.00 90.00 120.00°
Last column: nearest neighbours and their distance in Å.
Space group P3m1 (No. 156)
Asymmetric unit:
Sr 0.0000 0.0000 0.0000 x1  3 Ag 3.38, 6 Nd 3.63-3.77
Nd 0.3333 0.6667 0.5266 x1  3 Ag 3.10
Ag 0.6667 0.3333 0.3586 x1  3 Nd 3.10, 3 Sr 3.38

***

(23)
A relaxed structure of Sr3NdAg4. Source: Alexandria, functional GGA-PBE.

Properties
Energy of formation ... -2.1 eV per formula unit

Cell: 3.8803 3.8803 15.6447 Å, 90.00 90.00 90.00°
Last column: nearest neighbours and their distance in Å.
Space group P4/mmm (No. 123)
Asymmetric unit:
Sr 0.0000 0.0000 0.0000 x1  8 Ag 3.39
Sr 0.0000 0.0000 0.2556 x2  8 Ag 3.40-3.49
Nd 0.0000 0.0000 0.5000 x1  8 Ag 3.21
Ag 0.5000 0.5000 0.1270 x2  8 Sr 3.39-3.40
Ag 0.5000 0.5000 0.3932 x2  4 Nd 3.21, 1 Ag 3.34, 4 Sr 3.49

***

(24)
A relaxed structure of Sr3Nd2AgTe6. Source: Alexandria, functional GGA-PBE.

Properties
ΔE_f (raw) ... -16.39 eV/f.u.

Cell: 7.9852 13.8254 7.9735 Å, 90.00 109.54 90.00°
Last column: nearest neighbours and their distance in Å.
Space group C2/m (No. 12)
Asymmetric unit:
Sr 0.0000 0.0000 0.0000 x2  6 Te 3.32-3.35
Sr 0.0000 0.3334 0.0000 x4  6 Te 3.32-3.35
Nd 0.0000 0.1666 0.5000 x4  6 Te 3.20
Ag 0.0000 0.5000 0.5000 x2  6 Te 3.17
Te 0.2431 0.3349 0.7343 x8  1 Ag 3.17, 2 Nd 3.20, 3 Sr 3.32-3.35
Te 0.2477 0.0000 0.7343 x4  1 Ag 3.17, 2 Nd 3.20, 3 Sr 3.32-3.35